[1]
Density functional theory data (SCAN) for BePPt3 at its PBEsol-relaxed geometry.

Results
V ... 86 Å³ per cell
Energy ... -223.28 eV/cell
ρ ... 12.1 Mg/m³
Energy relative to the elements ... 410 meV per atom

abc: 4.4132 4.4132 4.4132
angles: 90.00 90.00 90.00
Last column: nearest neighbours and their distance in Å.
Positions (direct):
1 Be 0.0000 0.0000 0.0000  12 Pt 3.12
2 P 0.5000 0.5000 0.5000  6 Pt 2.21
3 Pt 0.0000 0.5000 0.5000  2 P 2.21
4 Pt 0.5000 0.0000 0.5000  2 P 2.21
5 Pt 0.5000 0.5000 0.0000  2 P 2.21

---

[2]
Density functional theory data (SCAN) for Be2PPt at its PBEsol-relaxed geometry.

Results
V ... 46 Å³ per cell
Energy ... -90.17 eV/cell
ρ ... 8.9 Mg/m³
Energy relative to the elements ... -218 meV per atom

abc: 3.4236 3.5088 3.8467
angles: 90.00 99.33 90.00
Last column: nearest neighbours and their distance in Å.
Positions (direct):
1 Be 0.0000 0.0000 0.0000  2 P 2.36, 4 Pt 2.45, 4 Be 2.60
2 Be 0.0000 0.5000 0.5000  2 Pt 2.36, 4 P 2.45, 4 Be 2.60
3 P 0.5000 0.0000 0.5000  6 Be 2.36-2.45, 4 Pt 2.60
4 Pt 0.5000 0.5000 0.0000  6 Be 2.36-2.45, 4 P 2.60

---

[3]
Density functional theory data (SCAN) for BePPtS2 at its PBEsol-relaxed geometry.

Results
Uncorrected formation energy ... 0.80 eV per atom
V ... 90 Å³ per cell
Energy ... -100.21 eV/cell
ρ ... 5.5 Mg/m³

abc: 4.6871 4.6871 4.1119
angles: 90.00 90.00 90.00
Last column: nearest neighbours and their distance in Å.
Positions (direct):
1 Be 0.0000 0.0000 0.0000  2 Pt 2.06
2 P 0.5000 0.5000 0.0000  8 S 3.12, 4 Be 3.31
3 Pt 0.0000 0.0000 0.5000  2 Be 2.06
4 S 0.0000 0.5000 0.5000  2 Pt 2.34
5 S 0.5000 0.0000 0.5000  2 Pt 2.34

---

> Among the records above, which one has the highest V?

BePPtS2

---

> The highest ρ belongs to which entry?

BePPt3

---

> Number 3 is which compound?

BePPtS2

---

> What is the formula in the second record?

Be2PPt